Record 1
A plane-wave DFT calculation with PBE-GGA was carried out for a geometry-optimized LiBS4 structure.

abc: 8.759 8.759 5.262
angles: 102.07 102.07 134.40
Element x y z (fractional)
Li: 0.155 0.845 0.750
Li: 0.845 0.155 0.250
B: 0.499 0.501 0.250
B: 0.501 0.499 0.750
S: 0.183 0.600 0.020
S: 0.262 0.382 0.382
S: 0.382 0.262 0.882
S: 0.400 0.817 0.480
S: 0.600 0.183 0.520
S: 0.618 0.738 0.118
S: 0.738 0.618 0.618
S: 0.817 0.400 0.980

Calculated values
Energy ... -4.5357 eV/atom
Total magnetization ... 0.00 μB per atom
SG ... C2/c (15)
Formation energy from raw total energies ... -34 kJ per mole of atoms



Record 2
A plane-wave DFT calculation with PBE-GGA was carried out for a geometry-optimized LiBS2 structure.

abc: 6.152 3.283 13.317
angles: 90.00 90.00 90.00
Element x y z (fractional)
Li: 0.030 0.250 0.202
Li: 0.470 0.750 0.702
Li: 0.530 0.250 0.298
Li: 0.970 0.750 0.798
B: 0.050 0.750 0.420
B: 0.450 0.250 0.920
B: 0.550 0.750 0.080
B: 0.950 0.250 0.580
S: 0.146 0.750 0.563
S: 0.234 0.750 0.315
S: 0.266 0.250 0.815
S: 0.354 0.250 0.063
S: 0.646 0.750 0.937
S: 0.734 0.750 0.185
S: 0.766 0.250 0.685
S: 0.854 0.250 0.437

Calculated values
Energy ... -4.8840 eV/atom
Total magnetization ... 0.00 μB per atom
SG ... Pnma (62)
Formation energy from raw total energies ... -65 kJ per mole of atoms
Density of states at the Fermi level ... 0.00 states/eV/cell



Record 3
A plane-wave DFT calculation with PBE-GGA was carried out for a geometry-optimized LiBS2 structure.

abc: 4.806 5.397 6.773
angles: 95.32 105.66 92.04
Element x y z (fractional)
Li: 0.224 0.241 0.455
Li: 0.776 0.759 0.545
B: 0.097 0.607 0.161
B: 0.903 0.393 0.839
S: 0.201 0.307 0.055
S: 0.228 0.752 0.417
S: 0.772 0.248 0.583
S: 0.799 0.693 0.945

Calculated values
Energy ... -4.9584 eV/atom
Total magnetization ... 0.00 μB per atom
SG ... P-1 (2)
Formation energy from raw total energies ... -72 kJ per mole of atoms
Density of states at the Fermi level ... 0.00 states/eV/cell



Record 4
A plane-wave DFT calculation with PBE-GGA was carried out for a geometry-optimized Li4BS4 structure.

abc: 6.328 6.328 6.328
angles: 125.60 125.60 80.54
Element x y z (fractional)
Li: 0.000 0.500 0.500
Li: 0.189 0.189 0.000
Li: 0.500 0.000 0.500
Li: 0.811 0.811 0.000
B: 0.500 0.500 0.000
S: 0.188 0.574 0.000
S: 0.426 0.426 0.614
S: 0.574 0.188 0.000
S: 0.812 0.812 0.386

Calculated values
Energy ... -4.2571 eV/atom
Total magnetization ... 0.11 μB per atom
SG ... I-42m (121)
Formation energy from raw total energies ... -80 kJ per mole of atoms
Density of states at the Fermi level ... 7.40 states/eV/cell



- Which value of total magnetization does entry 2 give?
  0.00 μB per atom